Tb4PrNd7 | Alexandria | PBE | optimized geometry; total magnetization = 0.0 μB/cell; energy of formation = 0.35 kJ/mol of atoms; crystal system = triclinic; space-group type = P-1, No. 2
1.0
6.362 0.000 0.000
-0.001 7.349 0.000
-2.119 -0.002 8.806
Tb Pr Nd
4 1 7
Direct
0.219 0.000 0.165
0.278 0.754 0.834
0.722 0.246 0.166
0.781 0.000 0.835
0.000 0.500 0.500
0.000 0.000 0.500
0.223 0.500 0.166
0.280 0.248 0.835
0.500 0.247 0.499
0.500 0.753 0.501
0.720 0.752 0.165
0.777 0.500 0.834


KLaCl | Alexandria | PBE | optimized geometry; total magnetization = 4.0 μB/cell; ΔE_f (raw) = -130 kJ/mol of formula units; crystal system = cubic; space-group type = F-43m, No. 216
1.0
7.370 0.000 0.000
0.000 7.370 0.000
0.000 0.000 7.370
K La Cl
4 4 4
Direct
0.000 0.000 0.000
0.000 0.500 0.500
0.500 0.000 0.500
0.500 0.500 0.000
0.000 0.000 0.500
0.000 0.500 0.000
0.500 0.000 0.000
0.500 0.500 0.500
0.250 0.250 0.750
0.250 0.750 0.250
0.750 0.250 0.250
0.750 0.750 0.750


NiSe | Alexandria | PBE | optimized geometry; total magnetization = 0.0 μB/cell; ΔE_f (raw) = -46 kJ/mol of formula units; crystal system = tetragonal; space-group type = P4/m, No. 83
1.0
9.915 0.000 0.000
0.000 9.915 0.000
0.000 0.000 3.711
Ni Se
8 8
Direct
0.049 0.378 0.000
0.116 0.700 0.500
0.300 0.116 0.500
0.378 0.951 0.000
0.622 0.049 0.000
0.700 0.884 0.500
0.884 0.300 0.500
0.951 0.622 0.000
0.117 0.256 0.500
0.183 0.574 0.000
0.256 0.883 0.500
0.426 0.183 0.000
0.574 0.817 0.000
0.744 0.117 0.500
0.817 0.426 0.000
0.883 0.744 0.500


Number 1: N(E_F) 15.6 states/eV/f.u.. Number 2: N(E_F) 2.6 states/eV/f.u.. Number 3: N(E_F) 2.1 states/eV/f.u..